The following is a GGA-PBE calculation of a relaxed structure of UMnOsRu, from the Alexandria database.

Computed properties:
Calculated volume in A^3/atom: 17.0
Total moment in μB per cell: 5.57
Total DFT energy (no corrections) in eV per atom: -10.173
Formation energy from the elements in meV per atom: 68
ρ in Mg/m³: 14.29

a = 4.5789 Å, b = 4.5789 Å, c = 4.5789 Å
α = 60.00°, β = 60.00°, γ = 60.00°
Last column: nearest neighbours and their distance in Å.
Fractional coordinates of all 4 atoms:
1 U 0.5000 0.5000 0.5000  4 Ru 2.80, 4 Os 2.80
2 Os 0.2500 0.2500 0.2500  4 U 2.80, 4 Mn 2.80
3 Mn 0.0000 0.0000 0.0000  4 Os 2.80, 4 Ru 2.80
4 Ru 0.7500 0.7500 0.7500  4 Mn 2.80, 4 U 2.80